(1)
DFT (PBE) results for crystalline Er6Zn2Pt at its relaxed geometry.

```
Er6Zn2Pt
1.0
7.683 -3.449 0.000
7.683 3.449 0.000
-1.553 0.000 4.639
Er Zn Pt
6 2 1
Cartesian
4.664 1.746 1.567
7.683 1.769 0.000
9.149 1.746 3.072
4.664 -1.746 1.567
7.683 -1.769 0.000
9.149 -1.746 3.072
3.821 0.000 3.863
9.993 0.000 0.776
-0.776 0.000 2.319
```

Summary:
**Total DFT energy (no corrections)**: -4.285 eV/atom

=====

(2)
DFT (PBE) results for crystalline Ba2LiGe4Pt3 at its relaxed geometry.

```
Ba2LiGe4Pt3
1.0
4.566 0.000 0.000
0.000 4.566 0.000
0.000 0.000 10.273
Ba Li Ge Pt
2 1 4 3
Cartesian
0.000 2.283 2.570
2.283 0.000 7.703
0.000 0.000 5.137
0.000 0.000 0.000
0.000 2.283 6.437
2.283 0.000 3.837
2.283 2.283 0.000
0.000 2.283 9.028
2.283 0.000 1.245
2.283 2.283 5.137
```

Summary:
**Total DFT energy (no corrections)**: -4.931 eV/atom

=====

(3)
DFT (PBE) results for crystalline CeAgAu2 at its relaxed geometry.

```
CeAgAu2
1.0
3.586 0.000 0.000
0.000 3.586 0.000
0.000 0.000 6.709
Ce Ag Au
1 1 2
Cartesian
0.000 0.000 0.000
0.000 0.000 3.355
1.793 1.793 1.860
1.793 1.793 4.849
```

Summary:
**Total DFT energy (no corrections)**: -4.254 eV/atom

=====

(4)
DFT (PBE) results for crystalline Th2NpFe2N6 at its relaxed geometry.

```
Th2NpFe2N6
1.0
2.811 1.623 5.576
-2.811 1.623 5.576
0.000 -3.245 5.576
Th Np Fe N
2 1 2 6
Cartesian
0.000 0.000 3.564
0.000 0.000 13.164
0.000 0.000 0.000
0.000 0.000 6.705
0.000 0.000 10.022
-1.483 -0.856 9.580
0.000 -1.712 7.148
-1.483 0.856 7.148
1.483 -0.856 9.580
0.000 1.712 9.580
1.483 0.856 7.148
```

Summary:
**Total DFT energy (no corrections)**: -9.309 eV/atom

=====

(5)
DFT (PBE) results for crystalline LiLaSb2I at its relaxed geometry.

```
LiLaSb2I
1.0
4.966 0.000 0.000
0.000 4.966 0.000
0.000 0.000 5.815
Li La Sb I
1 1 2 1
Cartesian
0.000 0.000 0.000
2.483 2.483 2.907
0.000 2.483 0.000
2.483 0.000 0.000
0.000 0.000 2.907
```

Summary:
**Total DFT energy (no corrections)**: -3.772 eV/atom

=====

(6)
DFT (PBE) results for crystalline K3Cd4Pd at its relaxed geometry.

```
K3Cd4Pd
1.0
6.309 0.000 0.000
0.000 7.446 0.000
0.000 0.000 11.114
K Cd Pd
6 8 2
Cartesian
0.000 0.000 0.000
0.000 1.746 7.166
0.000 5.701 7.166
3.154 1.978 1.609
3.154 3.723 5.557
3.154 5.469 1.609
0.000 2.260 3.427
0.000 5.187 3.427
1.502 3.723 9.944
1.653 0.000 4.387
3.154 1.463 8.984
3.154 5.983 8.984
4.656 0.000 4.387
4.807 3.723 9.944
0.000 3.723 1.128
3.154 0.000 6.685
```

Summary:
**Total DFT energy (no corrections)**: -1.640 eV/atom

=====

(7)
DFT (PBE) results for crystalline GaHg5Pb2 at its relaxed geometry.

```
GaHg5Pb2
1.0
4.494 0.000 0.000
-0.685 4.859 0.000
-1.708 -2.227 10.346
Ga Hg Pb
1 5 2
Cartesian
0.000 0.000 0.000
-1.298 1.471 7.911
0.520 3.819 2.451
1.904 2.429 0.000
1.580 -1.187 7.895
3.399 1.161 2.435
0.086 0.114 5.483
2.015 2.518 4.863
```

Summary:
**Total DFT energy (no corrections)**: -1.434 eV/atom

=====

(8)
DFT (PBE) results for crystalline Ac4Ag2Au5 at its relaxed geometry.

```
Ac4Ag2Au5
1.0
8.018 0.000 0.000
0.000 4.157 0.000
-0.386 0.000 9.273
Ac Ag Au
4 2 5
Cartesian
1.679 0.000 3.380
1.788 0.000 8.077
5.844 0.000 1.195
5.953 0.000 5.893
3.194 2.079 5.821
4.438 2.079 3.451
0.000 2.079 0.000
0.422 2.079 5.942
2.971 2.079 1.099
4.661 2.079 8.174
7.210 2.079 3.331
```

Summary:
**Total DFT energy (no corrections)**: -4.157 eV/atom

=====

(9)
DFT (PBE) results for crystalline Pm6Pr2Rh at its relaxed geometry.

```
Pm6Pr2Rh
1.0
8.875 -4.717 0.000
8.875 4.717 0.000
-0.005 0.000 3.708
Pm Pr Rh
6 2 1
Cartesian
2.972 1.567 1.856
8.875 2.678 0.000
2.972 -1.567 1.856
14.773 1.567 1.852
8.875 -2.678 0.000
14.773 -1.567 1.852
5.875 0.000 0.004
11.870 0.000 3.704
-0.002 0.000 1.854
```

Summary:
**Total DFT energy (no corrections)**: -5.032 eV/atom

=====

(10)
DFT (PBE) results for crystalline LiTbPuSi at its relaxed geometry.

```
LiTbPuSi
1.0
7.069 0.000 0.000
0.000 7.069 0.000
0.000 0.000 7.069
Li Tb Pu Si
4 4 4 4
Cartesian
0.000 0.000 0.000
0.000 3.535 3.535
3.535 0.000 3.535
3.535 3.535 0.000
1.767 1.767 5.302
1.767 5.302 1.767
5.302 1.767 1.767
5.302 5.302 5.302
1.767 1.767 1.767
1.767 5.302 5.302
5.302 1.767 5.302
5.302 5.302 1.767
0.000 0.000 3.535
0.000 3.535 0.000
3.535 0.000 0.000
3.535 3.535 3.535
```

Summary:
**Total DFT energy (no corrections)**: -6.748 eV/atom

=====

(11)
DFT (PBE) results for crystalline SrZrTl2 at its relaxed geometry.

```
SrZrTl2
1.0
7.296 0.000 0.000
0.000 8.786 0.000
0.000 0.000 3.380
Sr Zr Tl
2 2 4
Cartesian
0.000 0.000 0.000
3.648 4.393 0.000
0.000 4.393 0.000
3.648 0.000 0.000
1.824 2.196 1.690
1.824 6.589 1.690
5.472 2.196 1.690
5.472 6.589 1.690
```

Summary:
**Total DFT energy (no corrections)**: -3.787 eV/atom

=====

(12)
DFT (PBE) results for crystalline In4IrRh at its relaxed geometry.

```
In4IrRh
1.0
5.771 -4.845 0.000
5.771 4.845 0.000
-3.415 0.000 5.277
In Ir Rh
8 2 2
Cartesian
0.000 0.000 0.000
9.832 0.000 2.636
1.368 2.192 2.766
3.079 2.190 0.127
1.368 -2.192 2.766
3.079 -2.190 0.127
6.157 0.000 0.256
4.446 0.000 2.896
2.221 0.000 1.451
7.137 0.000 2.769
0.517 0.000 4.082
8.850 0.000 0.125
```

Summary:
**Total DFT energy (no corrections)**: -4.637 eV/atom

=====

> The lowest total DFT energy (no corrections) belongs to which entry?

Th2NpFe2N6

=====

> Look up the total DFT energy (no corrections) of the fourth one.

-9.309 eV/atom

=====

> The highest total DFT energy (no corrections) belongs to which entry?

GaHg5Pb2

=====

> Which value of total DFT energy (no corrections) does entry 9 give?

-5.032 eV/atom